Record 1
A relaxed structure of YCoBiMo, computed with PBE.

The structure belongs to space group F-43m (No. 216); the cell edges are 6.897, 6.897 and 6.897 Å and the angles 90.00°, 90.00° and 90.00°. The distinct sites, in fractional coordinates, are Y at (0.000, 0.000, 0.000), Co at (0.000, 0.000, 0.500), Bi at (0.250, 0.250, 0.250) and Mo at (0.250, 0.250, 0.750).

As for the energy above the most stable polymorph in this dataset: 4.891 kcal/mol of atoms.

---

Record 2
A relaxed structure of TbNbAg, computed with PBE.

The structure belongs to space group F-43m (No. 216); the cell edges are 6.678, 6.678 and 6.678 Å and the angles 90.00°, 90.00° and 90.00°. The distinct sites, in fractional coordinates, are Tb at (0.000, 0.000, 0.000), Nb at (0.250, 0.250, 0.750) and Ag at (0.000, 0.000, 0.500).

The value obtained for the formation energy is 970 meV per atom.

---

no.,magnetization (μB/cell)
1,18.00
2,5.74